Material: Cs2CrOsBr6
Method: DFT, PBE
State: relaxed

Calculated values
DOS at the Fermi energy = 0.99 states/eV/atom
raw formation energy = -0.700 eV per atom

Lattice parameters (Å, degrees): 7.5459 7.5459 10.6875 90.00 90.00 90.00
Space group I4/mmm (No. 139)
Unique sites:
Cs: 0.0000 0.5000 0.2500
Cr: 0.0000 0.0000 0.0000
Os: 0.0000 0.0000 0.5000
Br: 0.0000 0.0000 0.2577
Br: 0.2427 0.2427 0.5000